A plane-wave DFT calculation with GGA-PBE was carried out for a relaxed CaYCu crystal.

Values from the calculation:
Its polymorph energy (0 for the lowest one) is 0 meV per atom.

a = 6.9170 Å, b = 6.9175 Å, c = 3.5303 Å
α = 75.21°, β = 75.21°, γ = 29.57°
Fractional positions:
Ca: 0.9726 0.9729 0.0274
Y: 0.7041 0.7042 0.2959
Cu: 0.3233 0.3229 0.6767